Entry 1:
Density functional theory data (GGA-PBE) for an optimized crystal structure of NaSr2Sb2.

Calculated values
As for the volume: 40.44 A^3/atom. The value obtained for the distance to the lowest polymorph of the same formula is 1.22 eV per formula unit. The density of states at the Fermi level comes out at 2.482 states/eV/f.u. The raw formation energy comes out at -2.6 eV/f.u. The space group is I4/mmm, No. 139. The value obtained for the total energy is -3.11 eV/atom.

Cell: 6.6798 6.6798 6.6798 Å, 122.50 122.50 85.73°
With the nearest neighbours (Å) after each atom.
Fractional coordinates of all 5 atoms:
Na 0.0000 0.0000 0.0000  2 Sb 3.35
Sr 0.2500 0.7500 0.5000  4 Sb 3.34
Sr 0.7500 0.2500 0.5000  4 Sb 3.34
Sb 0.3417 0.3417 0.0000  1 Sb 3.10, 4 Sr 3.34, 1 Na 3.35
Sb 0.6583 0.6583 0.0000  1 Sb 3.10, 4 Sr 3.34, 1 Na 3.35

Entry 2:
Density functional theory data (GGA-PBE) for an optimized crystal structure of K3ZnOs2O9.

Calculated values
As for the volume: 12.66 A^3/atom. The density of states at the Fermi level comes out at 5.874 states/eV/f.u. The raw formation energy comes out at -19.3 eV/f.u. The space group is P-3m1, No. 164. The value obtained for the total energy is -6.07 eV/atom.

Cell: 5.6130 5.6130 6.9583 Å, 90.00 90.00 120.00°
With the nearest neighbours (Å) after each atom.
Fractional coordinates of all 15 atoms:
K 0.0000 0.0000 0.0000  12 O 2.77-2.81
K 0.3333 0.6667 0.6583  12 O 2.81-2.88
K 0.6667 0.3333 0.3417  12 O 2.81-2.88
Zn 0.0000 0.0000 0.5000  6 O 2.12
Os 0.3333 0.6667 0.1660  6 O 1.87-1.99
Os 0.6667 0.3333 0.8340  6 O 1.87-1.99
O 0.0000 0.5000 0.0000  2 Os 1.99
O 0.1741 0.3483 0.3158  1 Os 1.87
O 0.1741 0.8259 0.3158  1 Os 1.87
O 0.3483 0.1741 0.6842  1 Os 1.87
O 0.5000 0.0000 0.0000  2 Os 1.99
O 0.5000 0.5000 0.0000  2 Os 1.99
O 0.6517 0.8259 0.3158  1 Os 1.87
O 0.8259 0.1741 0.6842  1 Os 1.87
O 0.8259 0.6517 0.6842  1 Os 1.87

Entry 3:
Density functional theory data (GGA-PBE) for an optimized crystal structure of PmPr3Pb5.

Calculated values
The calculation puts the energy of formation at -482 meV per atom. As for the volume: 31.01 A^3/atom. The density of states at the Fermi level comes out at 8.795 states/eV/f.u. The space group is P6_3/mcm, No. 193. The value obtained for the total energy is -4.66 eV/atom.

Cell: 9.8276 9.8276 6.6737 Å, 90.00 90.00 120.00°
With the nearest neighbours (Å) after each atom.
Fractional coordinates of all 18 atoms:
Pm 0.0000 0.0000 0.0000  6 Pb 3.29, 2 Pm 3.34
Pm 0.0000 0.0000 0.5000  6 Pb 3.29, 2 Pm 3.34
Pr 0.0000 0.3798 0.2500  9 Pb 3.26-3.50
Pr 0.0000 0.6202 0.7500  9 Pb 3.26-3.50
Pr 0.3798 0.0000 0.2500  9 Pb 3.26-3.50
Pr 0.3798 0.3798 0.7500  9 Pb 3.26-3.50
Pr 0.6202 0.0000 0.7500  9 Pb 3.26-3.50
Pr 0.6202 0.6202 0.2500  9 Pb 3.26-3.50
Pb 0.0000 0.2881 0.7500  5 Pr 3.26-3.46, 2 Pm 3.29
Pb 0.0000 0.7119 0.2500  5 Pr 3.26-3.46, 2 Pm 3.29
Pb 0.2881 0.0000 0.7500  5 Pr 3.26-3.46, 2 Pm 3.29
Pb 0.2881 0.2881 0.2500  5 Pr 3.26-3.46, 2 Pm 3.29
Pb 0.3333 0.6667 0.0000  2 Pb 3.34, 6 Pr 3.50
Pb 0.3333 0.6667 0.5000  2 Pb 3.34, 6 Pr 3.50
Pb 0.6667 0.3333 0.0000  2 Pb 3.34, 6 Pr 3.50
Pb 0.6667 0.3333 0.5000  2 Pb 3.34, 6 Pr 3.50
Pb 0.7119 0.0000 0.2500  5 Pr 3.26-3.46, 2 Pm 3.29
Pb 0.7119 0.7119 0.7500  5 Pr 3.26-3.46, 2 Pm 3.29

Entry 4:
Density functional theory data (GGA-PBE) for an optimized crystal structure of Ta2FePt3.

Calculated values
The calculation puts the energy of formation at -399 meV per atom. As for the volume: 16.43 A^3/atom. The density of states at the Fermi level comes out at 4.161 states/eV/f.u. The space group is Ibam, No. 72. The value obtained for the total energy is -8.78 eV/atom.

Cell: 7.7757 7.7757 7.7757 Å, 139.23 58.76 139.57°
With the nearest neighbours (Å) after each atom.
Fractional coordinates of all 12 atoms:
Ta 0.1642 0.2302 0.3944  7 Pt 2.61-2.88
Ta 0.3358 0.7302 0.0660  7 Pt 2.61-2.88
Ta 0.6642 0.2698 0.9340  7 Pt 2.61-2.88
Ta 0.8358 0.7698 0.6056  7 Pt 2.61-2.88
Fe 0.2500 0.7500 0.5000  6 Pt 2.66-2.71, 2 Fe 2.69
Fe 0.7500 0.2500 0.5000  6 Pt 2.66-2.71, 2 Fe 2.69
Pt 0.1433 0.7257 0.8690  5 Ta 2.61-2.75, 2 Fe 2.66, 2 Pt 2.79
Pt 0.2500 0.2500 0.0000  6 Pt 2.69-2.79, 2 Fe 2.71, 4 Ta 2.88
Pt 0.3567 0.2257 0.5824  5 Ta 2.61-2.75, 2 Fe 2.66, 2 Pt 2.79
Pt 0.6433 0.7743 0.4176  5 Ta 2.61-2.75, 2 Fe 2.66, 2 Pt 2.79
Pt 0.7500 0.7500 0.0000  6 Pt 2.69-2.79, 2 Fe 2.71, 4 Ta 2.88
Pt 0.8567 0.2743 0.1310  5 Ta 2.61-2.75, 2 Fe 2.66, 2 Pt 2.79

Entry 5:
Density functional theory data (GGA-PBE) for an optimized crystal structure of NdZnGa2Ni.

Calculated values
The calculation puts the energy of formation at -488 meV per atom. As for the volume: 18.28 A^3/atom. The density of states at the Fermi level comes out at 3.326 states/eV/f.u. The space group is I-4m2, No. 119. The value obtained for the total energy is -4.06 eV/atom.

Cell: 5.9296 5.9296 5.9296 Å, 138.27 138.27 60.48°
With the nearest neighbours (Å) after each atom.
Fractional coordinates of all 5 atoms:
Nd 0.0000 0.0000 0.0000  8 Ga 3.24, 4 Ni 3.32, 4 Zn 3.32
Zn 0.7500 0.2500 0.5000  4 Ga 2.48
Ga 0.3764 0.3764 0.0000  2 Ni 2.48, 2 Zn 2.48, 1 Ga 2.53
Ga 0.6236 0.6236 0.0000  2 Ni 2.48, 2 Zn 2.48, 1 Ga 2.53
Ni 0.2500 0.7500 0.5000  4 Ga 2.48

Entry 6:
Density functional theory data (GGA-PBE) for an optimized crystal structure of Y3ErPd12.

Calculated values
The calculation puts the energy of formation at -859 meV per atom. As for the volume: 17.58 A^3/atom. The density of states at the Fermi level comes out at 11.775 states/eV/f.u. The space group is P4/mmm, No. 123. The value obtained for the total energy is -6.25 eV/atom.

Cell: 4.1208 4.1208 16.5631 Å, 90.00 90.00 90.00°
With the nearest neighbours (Å) after each atom.
Fractional coordinates of all 16 atoms:
Y 0.0000 0.0000 0.0000  12 Pd 2.91-2.93
Y 0.0000 0.0000 0.2514  12 Pd 2.91-2.93
Y 0.0000 0.0000 0.7486  12 Pd 2.91-2.93
Er 0.0000 0.0000 0.5000  12 Pd 2.90-2.91
Pd 0.0000 0.5000 0.1255  8 Pd 2.91-2.93, 4 Y 2.93
Pd 0.0000 0.5000 0.3768  2 Er 2.90, 8 Pd 2.90-2.93, 2 Y 2.93
Pd 0.0000 0.5000 0.6232  2 Er 2.90, 8 Pd 2.90-2.93, 2 Y 2.93
Pd 0.0000 0.5000 0.8745  8 Pd 2.91-2.93, 4 Y 2.93
Pd 0.5000 0.0000 0.1255  8 Pd 2.91-2.93, 4 Y 2.93
Pd 0.5000 0.0000 0.3768  2 Er 2.90, 8 Pd 2.90-2.93, 2 Y 2.93
Pd 0.5000 0.0000 0.6232  2 Er 2.90, 8 Pd 2.90-2.93, 2 Y 2.93
Pd 0.5000 0.0000 0.8745  8 Pd 2.91-2.93, 4 Y 2.93
Pd 0.5000 0.5000 0.0000  4 Y 2.91, 8 Pd 2.93
Pd 0.5000 0.5000 0.2509  4 Y 2.91, 8 Pd 2.93
Pd 0.5000 0.5000 0.5000  8 Pd 2.90, 4 Er 2.91
Pd 0.5000 0.5000 0.7491  4 Y 2.91, 8 Pd 2.93

Entry 7:
Density functional theory data (GGA-PBE) for an optimized crystal structure of LiTlCr.

Calculated values
The calculation puts the energy of formation at 342 meV per atom. As for the volume: 18.75 A^3/atom. The value obtained for the distance to the lowest polymorph of the same formula is 0.07 eV per formula unit. The density of states at the Fermi level comes out at 1.267 states/eV/f.u. The space group is P3m1, No. 156. The value obtained for the total energy is -4.29 eV/atom.

Cell: 4.5964 4.5964 3.0744 Å, 90.00 90.00 120.00°
With the nearest neighbours (Å) after each atom.
Fractional coordinates of all 3 atoms:
Li 0.0000 0.0000 0.0000  3 Tl 2.75, 3 Cr 2.87, 2 Li 3.07
Tl 0.3333 0.6667 0.2287  3 Li 2.75, 3 Cr 2.95, 2 Tl 3.07
Cr 0.6667 0.3333 0.6451  3 Li 2.87, 6 Tl 2.95-3.20, 2 Cr 3.07

Entry 8:
Density functional theory data (GGA-PBE) for an optimized crystal structure of Ce2Ni2Rh.

Calculated values
The calculation puts the energy of formation at -463 meV per atom. As for the volume: 18.42 A^3/atom. The density of states at the Fermi level comes out at 6.108 states/eV/f.u. The space group is P4/mnc, No. 128. The value obtained for the total energy is -6.62 eV/atom.

Cell: 7.0978 7.0978 7.3135 Å, 90.00 90.00 90.00°
With the nearest neighbours (Å) after each atom.
Fractional coordinates of all 20 atoms:
Ce 0.1842 0.3160 0.0000  6 Ni 2.67-2.88
Ce 0.1840 0.3158 0.5000  6 Ni 2.67-2.88
Ce 0.3160 0.8158 0.0000  6 Ni 2.67-2.88
Ce 0.3158 0.8160 0.5000  6 Ni 2.67-2.88
Ce 0.6840 0.1842 0.0000  6 Ni 2.67-2.88
Ce 0.6842 0.1840 0.5000  6 Ni 2.67-2.88
Ce 0.8158 0.6840 0.0000  6 Ni 2.67-2.88
Ce 0.8160 0.6842 0.5000  6 Ni 2.67-2.88
Ni 0.1226 0.6226 0.2500  1 Ni 2.46, 2 Ce 2.67
Ni 0.1226 0.6226 0.7500  1 Ni 2.46, 2 Ce 2.67
Ni 0.3774 0.1226 0.2500  1 Ni 2.46, 2 Ce 2.67
Ni 0.3774 0.1226 0.7500  1 Ni 2.46, 2 Ce 2.67
Ni 0.6226 0.8774 0.2500  1 Ni 2.46, 2 Ce 2.67
Ni 0.6226 0.8774 0.7500  1 Ni 2.46, 2 Ce 2.67
Ni 0.8774 0.3774 0.2500  1 Ni 2.46, 2 Ce 2.67
Ni 0.8774 0.3774 0.7500  1 Ni 2.46, 2 Ce 2.67
Rh 0.0000 0.0000 0.2492  4 Ni 2.82
Rh 0.0000 0.0000 0.7508  4 Ni 2.82
Rh 0.5000 0.5000 0.2508  4 Ni 2.82
Rh 0.5000 0.5000 0.7492  4 Ni 2.82

Entry 9:
Density functional theory data (GGA-PBE) for an optimized crystal structure of Dy2ZrSe.

Calculated values
As for the volume: 27.87 A^3/atom. The density of states at the Fermi level comes out at 4.383 states/eV/f.u. The raw formation energy comes out at -1.4 eV/f.u. The space group is R-3m, No. 166. The value obtained for the total energy is -5.66 eV/atom.

Cell: 10.0998 10.0998 10.0998 Å, 20.59 20.59 20.59°
With the nearest neighbours (Å) after each atom.
Fractional coordinates of all 4 atoms:
Dy 0.1032 0.1032 0.1032  3 Se 2.81, 1 Zr 3.06
Dy 0.8968 0.8968 0.8968  3 Se 2.81, 1 Zr 3.06
Zr 0.0000 0.0000 0.0000  2 Dy 3.06
Se 0.5000 0.5000 0.5000  6 Dy 2.81

Entry 10:
Density functional theory data (GGA-PBE) for an optimized crystal structure of ScNb3Re.

Calculated values
The calculation puts the energy of formation at 887 meV per atom. As for the volume: 23.37 A^3/atom. The value obtained for the distance to the lowest polymorph of the same formula is 0.00 eV per formula unit. The density of states at the Fermi level comes out at 9.981 states/eV/f.u. The space group is Pm-3m, No. 221. The value obtained for the total energy is -8.91 eV/atom.

Cell: 4.8888 4.8888 4.8888 Å, 90.00 90.00 90.00°
With the nearest neighbours (Å) after each atom.
Fractional coordinates of all 5 atoms:
Sc 0.0000 0.0000 0.0000  12 Nb 3.46
Nb 0.0000 0.5000 0.5000  2 Re 2.44
Nb 0.5000 0.0000 0.5000  2 Re 2.44
Nb 0.5000 0.5000 0.0000  2 Re 2.44
Re 0.5000 0.5000 0.5000  6 Nb 2.44

Entry 11:
Density functional theory data (GGA-PBE) for an optimized crystal structure of InH2Pb.

Calculated values
As for the volume: 17.82 A^3/atom. The value obtained for the distance to the lowest polymorph of the same formula is 0.00 eV per formula unit. The density of states at the Fermi level comes out at 1.075 states/eV/f.u. The space group is I-42d, No. 122. The value obtained for the total energy is -2.86 eV/atom.

Cell: 6.1262 6.1262 6.1262 Å, 126.85 126.85 78.50°
With the nearest neighbours (Å) after each atom.
Fractional coordinates of all 8 atoms:
In 0.0000 0.0000 0.0000  4 H 1.99
In 0.7500 0.2500 0.5000  4 H 1.99
H 0.0257 0.6250 0.9007  2 In 1.99
H 0.3750 0.2757 0.4007  2 In 1.99
H 0.7243 0.1250 0.0993  2 In 1.99
H 0.8750 0.9743 0.5993  2 In 1.99
Pb 0.2500 0.7500 0.5000  4 H 2.64
Pb 0.5000 0.5000 0.0000  4 H 2.64

Entry 12:
Density functional theory data (GGA-PBE) for an optimized crystal structure of Ac2MgZn4Rh3.

Calculated values
The calculation puts the energy of formation at -469 meV per atom. As for the volume: 20.45 A^3/atom. The density of states at the Fermi level comes out at 4.453 states/eV/f.u. The space group is P-4m2, No. 115. The value obtained for the total energy is -4.17 eV/atom.

Cell: 4.1816 4.1816 11.6969 Å, 90.00 90.00 90.00°
With the nearest neighbours (Å) after each atom.
Fractional coordinates of all 10 atoms:
Ac 0.0000 0.5000 0.2322  4 Rh 3.17, 8 Zn 3.31-3.43
Ac 0.5000 0.0000 0.7678  4 Rh 3.17, 8 Zn 3.31-3.43
Mg 0.0000 0.0000 0.5000  4 Zn 2.65, 4 Rh 2.96
Zn 0.0000 0.0000 0.0000  4 Rh 2.62
Zn 0.0000 0.5000 0.6398  3 Rh 2.63-2.65, 2 Mg 2.65
Zn 0.5000 0.0000 0.3602  3 Rh 2.63-2.65, 2 Mg 2.65
Zn 0.5000 0.5000 0.0000  4 Rh 2.62
Rh 0.0000 0.5000 0.8646  5 Zn 2.62-2.63
Rh 0.5000 0.0000 0.1354  5 Zn 2.62-2.63
Rh 0.5000 0.5000 0.5000  4 Zn 2.65, 4 Mg 2.96